# 1
A plane-wave DFT calculation with GGA-PBEsol was carried out for an optimized crystal structure of Ca5V3O12F.

Results
* E: -7.95 eV/atom
* DOS at the Fermi energy: 0.00 states/eV/f.u.
* ΔE_f (raw): -2.973 eV per atom
* theoretical density: 3.3 g cm⁻³

CIF file:
```
data_Ca5V3O12F
_chemical_formula_sum 'Ca10 V6 O24 F2'
_cell_length_a 6.9510
_cell_length_b 9.6234
_cell_length_c 9.6517
_cell_angle_alpha 60.10
_cell_angle_beta 89.11
_cell_angle_gamma 89.84
_symmetry_space_group_name_H-M 'P -1'
_symmetry_Int_Tables_number 2
loop_
_symmetry_equiv_pos_as_xyz
'x,y,z'
'-x,-y,-z'
loop_
_atom_site_label
_atom_site_type_symbol
_atom_site_fract_x
_atom_site_fract_y
_atom_site_fract_z
Ca1 Ca 0.0018 0.1491 0.1866
Ca2 Ca 0.2423 0.2635 0.5004
Ca3 Ca 0.2496 0.5012 0.7412
Ca4 Ca 0.2579 0.7427 0.2572
Ca5 Ca 0.4982 0.1828 0.1534
V1 V 0.2407 0.1046 0.8686
V2 V 0.2437 0.5279 0.1026
V3 V 0.2660 0.8707 0.5284
O1 O 0.0430 0.1466 0.7512
O2 O 0.0613 0.7584 0.5860
O3 O 0.0682 0.5789 0.1933
O4 O 0.2218 0.6315 0.8970
O5 O 0.2297 0.1863 0.9899
O6 O 0.2460 0.3248 0.1851
O7 O 0.2645 0.8985 0.9722
O8 O 0.2686 0.9770 0.6293
O9 O 0.2726 0.9876 0.3249
O10 O 0.4248 0.1932 0.7354
O11 O 0.4483 0.7350 0.5966
O12 O 0.4520 0.5954 0.1405
F1 F 0.2487 0.5052 0.4996
```



# 2
A plane-wave DFT calculation with GGA-PBEsol was carried out for an optimized crystal structure of BeHgSCl2.

Results
* E: -2.92 eV/atom
* DOS at the Fermi energy: 2.05 states/eV/f.u.
* ΔE_f (raw): -0.324 eV per atom
* theoretical density: 5.6 g cm⁻³

CIF file:
```
data_BeHgSCl2
_chemical_formula_sum 'Be1 Hg1 S1 Cl2'
_cell_length_a 4.1429
_cell_length_b 4.1429
_cell_length_c 5.4299
_cell_angle_alpha 90.00
_cell_angle_beta 90.00
_cell_angle_gamma 90.00
_symmetry_space_group_name_H-M 'P 4/m m m'
_symmetry_Int_Tables_number 123
_symmetry_space_group_name_Hall '-P 4 2'
loop_
_atom_site_label
_atom_site_type_symbol
_atom_site_fract_x
_atom_site_fract_y
_atom_site_fract_z
Be1 Be 0.0000 0.0000 0.0000
Hg1 Hg 0.5000 0.5000 0.5000
S1 S 0.0000 0.0000 0.5000
Cl1 Cl 0.0000 0.5000 0.0000
```



# 3
A plane-wave DFT calculation with GGA-PBEsol was carried out for an optimized crystal structure of ZnFe2C.

Results
* E: -6.34 eV/atom
* DOS at the Fermi energy: 4.22 states/eV/f.u.
* theoretical density: 8.4 g cm⁻³
* E_form: 3.78 eV/f.u.

CIF file:
```
data_ZnFe2C
_chemical_formula_sum 'Zn4 Fe8 C4'
_cell_length_a 5.3173
_cell_length_b 5.3173
_cell_length_c 5.3173
_cell_angle_alpha 90.00
_cell_angle_beta 90.00
_cell_angle_gamma 90.00
_symmetry_space_group_name_H-M 'F m -3 m'
_symmetry_Int_Tables_number 225
_symmetry_space_group_name_Hall '-F 4 2 3'
loop_
_atom_site_label
_atom_site_type_symbol
_atom_site_fract_x
_atom_site_fract_y
_atom_site_fract_z
Zn1 Zn 0.0000 0.0000 0.0000
Fe1 Fe 0.2500 0.2500 0.2500
C1 C 0.0000 0.0000 0.5000
```



# 4
A plane-wave DFT calculation with GGA-PBEsol was carried out for an optimized crystal structure of BaLa3In.

Results
* E: -4.02 eV/atom
* DOS at the Fermi energy: 7.01 states/eV/f.u.
* E above lowest polymorph: 0 meV/atom
* theoretical density: 4.9 g cm⁻³
* E_form: 1.09 eV/f.u.

CIF file:
```
data_BaLa3In
_chemical_formula_sum 'Ba1 La3 In1'
_cell_length_a 6.0805
_cell_length_b 6.0805
_cell_length_c 6.0805
_cell_angle_alpha 90.00
_cell_angle_beta 90.00
_cell_angle_gamma 90.00
_symmetry_space_group_name_H-M 'P m -3 m'
_symmetry_Int_Tables_number 221
_symmetry_space_group_name_Hall '-P 4 2 3'
loop_
_atom_site_label
_atom_site_type_symbol
_atom_site_fract_x
_atom_site_fract_y
_atom_site_fract_z
Ba1 Ba 0.0000 0.0000 0.0000
La1 La 0.0000 0.5000 0.5000
In1 In 0.5000 0.5000 0.5000
```



# 5
A plane-wave DFT calculation with GGA-PBEsol was carried out for an optimized crystal structure of YFeW2O8.

Results
* E: -9.31 eV/atom
* DOS at the Fermi energy: 3.44 states/eV/f.u.
* E above lowest polymorph: 36 meV/atom
* ΔE_f (raw): -2.192 eV per atom
* theoretical density: 7.2 g cm⁻³

CIF file:
```
data_YFeW2O8
_chemical_formula_sum 'Y1 Fe1 W2 O8'
_cell_length_a 5.0854
_cell_length_b 5.7613
_cell_length_c 5.9913
_cell_angle_alpha 108.40
_cell_angle_beta 91.22
_cell_angle_gamma 114.99
_symmetry_space_group_name_H-M 'P 1'
_symmetry_Int_Tables_number 1
loop_
_symmetry_equiv_pos_as_xyz
'x,y,z'
loop_
_atom_site_label
_atom_site_type_symbol
_atom_site_fract_x
_atom_site_fract_y
_atom_site_fract_z
Y1 Y 0.0000 0.0000 0.0000
Fe1 Fe 0.4799 0.9628 0.3047
W1 W 0.2550 0.4887 0.6702
W2 W 0.7596 0.5303 0.3545
O1 O 0.0162 0.2633 0.8015
O2 O 0.0409 0.7057 0.6719
O3 O 0.0411 0.7561 0.2267
O4 O 0.4728 0.2967 0.5448
O5 O 0.4901 0.2514 0.0971
O6 O 0.5098 0.7568 0.9527
O7 O 0.5485 0.7352 0.4690
O8 O 0.9704 0.2898 0.3458
```



# 6
A plane-wave DFT calculation with GGA-PBEsol was carried out for an optimized crystal structure of TlP2.

Results
* E: -4.71 eV/atom
* DOS at the Fermi energy: 1.05 states/eV/f.u.
* E above lowest polymorph: 0 meV/atom
* theoretical density: 7.0 g cm⁻³
* E_form: 0.09 eV/f.u.

CIF file:
```
data_TlP2
_chemical_formula_sum 'Tl1 P2'
_cell_length_a 3.2752
_cell_length_b 3.2752
_cell_length_c 6.7772
_cell_angle_alpha 90.00
_cell_angle_beta 90.00
_cell_angle_gamma 120.00
_symmetry_space_group_name_H-M 'P -3 m 1'
_symmetry_Int_Tables_number 164
_symmetry_space_group_name_Hall '-P 3 2"'
loop_
_atom_site_label
_atom_site_type_symbol
_atom_site_fract_x
_atom_site_fract_y
_atom_site_fract_z
Tl1 Tl 0.0000 0.0000 0.0000
P1 P 0.3333 0.6667 0.4079
```



# 7
A plane-wave DFT calculation with GGA-PBEsol was carried out for an optimized crystal structure of LaS3O.

Results
* E: -5.54 eV/atom
* DOS at the Fermi energy: 1.48 states/eV/f.u.
* ΔE_f (raw): -0.789 eV per atom
* theoretical density: 5.0 g cm⁻³

CIF file:
```
data_LaS3O
_chemical_formula_sum 'La1 S3 O1'
_cell_length_a 4.3752
_cell_length_b 4.3752
_cell_length_c 4.3752
_cell_angle_alpha 90.00
_cell_angle_beta 90.00
_cell_angle_gamma 90.00
_symmetry_space_group_name_H-M 'P m -3 m'
_symmetry_Int_Tables_number 221
_symmetry_space_group_name_Hall '-P 4 2 3'
loop_
_atom_site_label
_atom_site_type_symbol
_atom_site_fract_x
_atom_site_fract_y
_atom_site_fract_z
La1 La 0.0000 0.0000 0.0000
S1 S 0.0000 0.5000 0.5000
O1 O 0.5000 0.5000 0.5000
```



# 8
A plane-wave DFT calculation with GGA-PBEsol was carried out for an optimized crystal structure of YTi2I.

Results
* E: -5.89 eV/atom
* DOS at the Fermi energy: 6.47 states/eV/f.u.
* ΔE_f (raw): 0.415 eV per atom
* theoretical density: 6.6 g cm⁻³

CIF file:
```
data_YTi2I
_chemical_formula_sum 'Y4 Ti8 I4'
_cell_length_a 6.7931
_cell_length_b 6.7931
_cell_length_c 6.7931
_cell_angle_alpha 90.00
_cell_angle_beta 90.00
_cell_angle_gamma 90.00
_symmetry_space_group_name_H-M 'F m -3 m'
_symmetry_Int_Tables_number 225
_symmetry_space_group_name_Hall '-F 4 2 3'
loop_
_atom_site_label
_atom_site_type_symbol
_atom_site_fract_x
_atom_site_fract_y
_atom_site_fract_z
Y1 Y 0.0000 0.0000 0.0000
Ti1 Ti 0.2500 0.2500 0.2500
I1 I 0.0000 0.0000 0.5000
```



# 9
A plane-wave DFT calculation with GGA-PBEsol was carried out for an optimized crystal structure of ZrTaAl.

Results
* E: -8.73 eV/atom
* DOS at the Fermi energy: 2.49 states/eV/f.u.
* E above lowest polymorph: 0 meV/atom
* theoretical density: 9.0 g cm⁻³
* E_form: -0.45 eV/f.u.

CIF file:
```
data_ZrTaAl
_chemical_formula_sum 'Zr2 Ta2 Al2'
_cell_length_a 2.8977
_cell_length_b 2.8977
_cell_length_c 13.1141
_cell_angle_alpha 90.00
_cell_angle_beta 90.00
_cell_angle_gamma 90.00
_symmetry_space_group_name_H-M 'I 4 m m'
_symmetry_Int_Tables_number 107
_symmetry_space_group_name_Hall 'I 4 -2'
loop_
_atom_site_label
_atom_site_type_symbol
_atom_site_fract_x
_atom_site_fract_y
_atom_site_fract_z
Zr1 Zr 0.0000 0.0000 0.0000
Ta1 Ta 0.0000 0.0000 0.3228
Al1 Al 0.0000 0.0000 0.6699
```



# 10
A plane-wave DFT calculation with GGA-PBEsol was carried out for an optimized crystal structure of Hf2ScCoH.

Results
* E: -5.95 eV/atom
* DOS at the Fermi energy: 5.90 states/eV/f.u.
* theoretical density: 7.5 g cm⁻³

CIF file:
```
data_Hf2ScCoH
_chemical_formula_sum 'Hf2 Sc1 Co1 H1'
_cell_length_a 5.0240
_cell_length_b 5.0240
_cell_length_c 4.0365
_cell_angle_alpha 90.00
_cell_angle_beta 90.00
_cell_angle_gamma 90.00
_symmetry_space_group_name_H-M 'P 4/m m m'
_symmetry_Int_Tables_number 123
_symmetry_space_group_name_Hall '-P 4 2'
loop_
_atom_site_label
_atom_site_type_symbol
_atom_site_fract_x
_atom_site_fract_y
_atom_site_fract_z
Hf1 Hf 0.0000 0.5000 0.0000
Sc1 Sc 0.0000 0.0000 0.0000
Co1 Co 0.0000 0.0000 0.5000
H1 H 0.5000 0.5000 0.5000
```



# 11
A plane-wave DFT calculation with GGA-PBEsol was carried out for an optimized crystal structure of BaBiSeN2.

Results
* E: -4.12 eV/atom
* DOS at the Fermi energy: 2.25 states/eV/f.u.
* ΔE_f (raw): 1.349 eV per atom
* theoretical density: 6.3 g cm⁻³

CIF file:
```
data_BaBiSeN2
_chemical_formula_sum 'Ba1 Bi1 Se1 N2'
_cell_length_a 4.4041
_cell_length_b 4.4041
_cell_length_c 6.1449
_cell_angle_alpha 90.00
_cell_angle_beta 90.00
_cell_angle_gamma 90.00
_symmetry_space_group_name_H-M 'P 4/m m m'
_symmetry_Int_Tables_number 123
_symmetry_space_group_name_Hall '-P 4 2'
loop_
_atom_site_label
_atom_site_type_symbol
_atom_site_fract_x
_atom_site_fract_y
_atom_site_fract_z
Ba1 Ba 0.0000 0.0000 0.0000
Bi1 Bi 0.5000 0.5000 0.5000
Se1 Se 0.0000 0.0000 0.5000
N1 N 0.0000 0.5000 0.0000
```



# 12
A plane-wave DFT calculation with GGA-PBEsol was carried out for an optimized crystal structure of TlCr3Bi.

Results
* E: -6.04 eV/atom
* DOS at the Fermi energy: 3.16 states/eV/f.u.
* theoretical density: 6.6 g cm⁻³
* E_form: 7.45 eV/f.u.

CIF file:
```
data_TlCr3Bi
_chemical_formula_sum 'Tl1 Cr3 Bi1'
_cell_length_a 5.2257
_cell_length_b 5.2257
_cell_length_c 5.2257
_cell_angle_alpha 90.00
_cell_angle_beta 90.00
_cell_angle_gamma 90.00
_symmetry_space_group_name_H-M 'P m -3 m'
_symmetry_Int_Tables_number 221
_symmetry_space_group_name_Hall '-P 4 2 3'
loop_
_atom_site_label
_atom_site_type_symbol
_atom_site_fract_x
_atom_site_fract_y
_atom_site_fract_z
Tl1 Tl 0.0000 0.0000 0.0000
Cr1 Cr 0.0000 0.5000 0.5000
Bi1 Bi 0.5000 0.5000 0.5000
```